<a>
# RbSrTc3, relaxed, DFT PBE
# - density of states at the Fermi level (states/eV/f.u.) = 8.08
# - volume (Å³/cell) = 123
data_RbSrTc3
_symmetry_space_group_name_H-M 'P m -3 m'
_symmetry_Int_Tables_number 221
_symmetry_space_group_name_Hall '-P 4 2 3'
_cell_length_a 4.9696
_cell_length_b 4.9696
_cell_length_c 4.9696
_cell_angle_alpha 90.00
_cell_angle_beta 90.00
_cell_angle_gamma 90.00
loop_
_atom_site_label
_atom_site_type_symbol
_atom_site_fract_x
_atom_site_fract_y
_atom_site_fract_z
Rb1 Rb 0.0000 0.0000 0.0000
Sr1 Sr 0.5000 0.5000 0.5000
Tc1 Tc 0.0000 0.0000 0.5000

***

<b>
# RbSrTc3, relaxed, DFT PBE
# - density of states at the Fermi level (states/eV/f.u.) = 8.05
# - volume (Å³/cell) = 162
data_RbSrTc3
_symmetry_space_group_name_H-M 'P m -3 m'
_symmetry_Int_Tables_number 221
_symmetry_space_group_name_Hall '-P 4 2 3'
_cell_length_a 5.4504
_cell_length_b 5.4504
_cell_length_c 5.4504
_cell_angle_alpha 90.00
_cell_angle_beta 90.00
_cell_angle_gamma 90.00
loop_
_atom_site_label
_atom_site_type_symbol
_atom_site_fract_x
_atom_site_fract_y
_atom_site_fract_z
Rb1 Rb 0.0000 0.0000 0.0000
Sr1 Sr 0.5000 0.5000 0.5000
Tc1 Tc 0.0000 0.5000 0.5000

***

Q: Which of them is the least stable? A: <a>.